Material: Nd5Tl4Cd
Method: DFT, PBE
State: relaxed

The structure in CIF format:
```
data_Nd5Tl4Cd
_chemical_formula_sum 'Nd5 Tl4 Cd1'
_cell_length_a 3.8714
_cell_length_b 3.8714
_cell_length_c 19.7540
_cell_angle_alpha 90.00
_cell_angle_beta 90.00
_cell_angle_gamma 90.00
_space_group_name_H-M_alt 'P 4/m m m'
_space_group_IT_number 123
_space_group_name_Hall '-P 4 2'
loop_
_atom_site_label
_atom_site_fract_x
_atom_site_fract_y
_atom_site_fract_z
Nd1 0.0000 0.0000 0.0000
Nd2 0.0000 0.0000 0.2013
Nd3 0.0000 0.0000 0.4035
Tl1 0.5000 0.5000 0.1007
Tl2 0.5000 0.5000 0.3039
Cd1 0.5000 0.5000 0.5000
```

Values from the calculation:
Final energy   -3.797 eV/atom
Crystal system   tetragonal
ΔE_f   -0.375 eV per atom